# CuNi2B

An optimized crystal structure of CuNi2B (PBE-GGA, Alexandria via LeMat-Bulk).

Properties
Uncorrected energy in eV per cell: -45.4
Crystal system: orthorhombic
Total magnetic moment in μB/f.u.: 0.00

The structure in POSCAR format:
```
CuNi2B
1.0
2.431 0.000 -0.472
0.000 4.841 0.000
0.039 0.000 6.700
Cu Ni B
2 4 2
Direct
0.761 0.750 0.521
0.239 0.250 0.479
0.407 0.000 0.814
0.593 0.500 0.186
0.407 0.500 0.814
0.593 0.000 0.186
0.000 0.750 0.000
0.000 0.250 0.000
```

***

# CuNiB

An optimized crystal structure of CuNiB (PBE-GGA, Alexandria via LeMat-Bulk).

Properties
Uncorrected energy in eV per cell: -16.4
Crystal system: cubic
Total magnetic moment in μB/f.u.: 0.00

The structure in POSCAR format:
```
CuNiB
1.0
-2.670 2.174 -0.593
-2.323 0.644 2.529
-0.077 3.133 1.544
Ni B Cu
1 1 1
Direct
0.000 0.000 0.000
0.250 0.250 0.250
0.500 0.500 0.500
```

***

# CuNi3B

An optimized crystal structure of CuNi3B (PBE-GGA, Alexandria via LeMat-Bulk).

Properties
Uncorrected energy in eV per cell: -57.1
Crystal system: orthorhombic
Total magnetic moment in μB/f.u.: 0.00

The structure in POSCAR format:
```
CuNi3B
1.0
-0.040 1.770 1.737
2.878 -3.570 3.705
5.966 2.407 -2.315
Cu Ni B
2 6 2
Direct
0.590 0.041 0.888
0.590 0.184 0.388
0.091 0.896 0.586
0.090 0.328 0.689
0.091 0.328 0.086
0.091 0.667 0.888
0.090 0.896 0.189
0.091 0.557 0.388
0.591 0.612 0.138
0.591 0.612 0.638
```

***

- The lowest uncorrected energy belongs to which entry?
  CuNi3B